# 1
This record from Alexandria describes a relaxed Zr2As2Ir crystal. The functional is PBE-GGA.

The structure in extended XYZ format:
```
10
Lattice="6.863 0.000 0.000 0.000 6.863 0.000 0.000 0.000 3.839" Properties=species:S:1:pos:R:3 pbc="T T T"
As 1.015 2.416 0.000
As 2.416 5.847 0.000
As 5.847 4.446 0.000
As 4.446 1.015 0.000
Zr 5.767 2.335 1.920
Zr 2.335 1.096 1.920
Zr 4.527 5.767 1.920
Zr 1.096 4.527 1.920
Ir 3.431 3.431 0.000
Ir 0.000 0.000 0.000
```

Values from the calculation:
DFT total energy: -7.740 eV per atom
Space-group type: P4/mbm (127)

# 2
This record from Alexandria describes a relaxed ReSiOs2 crystal. The functional is PBE-GGA.

The structure in extended XYZ format:
```
4
Lattice="5.127 -0.008 0.002 2.452 4.502 -0.002 -3.266 -3.130 2.413" Properties=species:S:1:pos:R:3 pbc="T T T"
Re 3.993 2.368 0.000
Os 7.348 4.358 0.000
Os 1.496 1.815 1.206
Si 2.844 -0.434 1.207
```

Values from the calculation:
DFT total energy: -10.123 eV per atom
Space-group type: Imm2 (44)
Raw formation energy: -0.0399 eV/atom

# 3
This record from Alexandria describes a relaxed Pm6HgRh crystal. The functional is PBE-GGA.

The structure in extended XYZ format:
```
8
Lattice="-4.813 4.722 -0.742 -5.808 -1.406 4.278 -0.549 2.357 6.342" Properties=species:S:1:pos:R:3 pbc="T T T"
Pm -4.374 4.261 2.301
Pm -6.718 4.286 5.440
Pm -2.835 0.930 0.911
Pm -7.786 2.386 2.625
Pm -6.795 1.412 7.577
Pm -4.452 1.386 4.437
Hg 0.000 0.000 0.000
Rh -5.310 1.658 1.768
```

Values from the calculation:
DFT total energy: -4.648 eV per atom
Space-group type: C2/m (12)

# 4
This record from Alexandria describes a relaxed ZnCr2 crystal. The functional is PBE-GGA.

The structure in extended XYZ format:
```
3
Lattice="0.000 2.052 6.276 1.454 0.000 6.276 1.454 2.052 0.000" Properties=species:S:1:pos:R:3 pbc="T T T"
Cr 1.454 2.052 4.072
Cr 1.454 2.052 8.481
Zn 0.000 0.000 0.000
```

Values from the calculation:
DFT total energy: -6.684 eV per atom
Space-group type: Fmmm (69)

# 5
This record from Alexandria describes a relaxed Sm4RhSCl2 crystal. The functional is PBE-GGA.

The structure in extended XYZ format:
```
8
Lattice="-1.482 -0.831 3.549 6.461 -2.937 2.010 4.014 5.295 2.916" Properties=species:S:1:pos:R:3 pbc="T T T"
Sm 1.271 -0.472 4.782
Sm 7.722 2.000 3.692
Sm 4.045 2.650 4.490
Sm 4.949 -1.123 3.984
Rh 6.504 3.411 5.695
Cl 4.014 5.295 2.916
Cl 1.266 2.232 3.232
S 5.238 1.179 2.463
```

Values from the calculation:
DFT total energy: -5.646 eV per atom
Space-group type: P2/m (10)
Raw formation energy: -1.3897 eV/atom

# 6
This record from Alexandria describes a relaxed CaMn2Cu crystal. The functional is PBE-GGA.

The structure in extended XYZ format:
```
4
Lattice="-1.292 2.810 2.778 -4.015 0.183 1.060 -0.907 -2.410 5.123" Properties=species:S:1:pos:R:3 pbc="T T T"
Mn -4.507 -0.169 7.405
Mn -0.940 -2.280 4.976
Ca -3.101 0.269 4.505
Cu -1.680 0.645 1.678
```

Values from the calculation:
DFT total energy: -5.920 eV per atom
Space-group type: R3m (160)